No. 1
MnOs2Cl: single point on PBEsol structure, meta-GGA SCAN.

The structure in POSCAR format:
```
MnOs2Cl
1.0
5.460 -1.361 0.000
5.460 1.361 0.000
-0.537 0.000 3.911
Mn Os Cl
1 2 1
Direct
0.000 0.000 0.000 Mn
0.296 0.296 0.778 Os
0.704 0.704 0.222 Os
0.500 0.500 0.500 Cl
```

ΔE to the lowest computed polymorph: 0.270 eV/atom
final energy: -42.069 eV/atom

---

No. 2
CaMgPd: single point on PBEsol structure, meta-GGA SCAN.

The structure in POSCAR format:
```
CaMgPd
1.0
7.196 0.000 0.000
0.000 4.337 0.000
0.000 0.000 8.396
Ca Mg Pd
4 4 4
Direct
0.030 0.250 0.176 Ca
0.470 0.750 0.676 Ca
0.530 0.250 0.324 Ca
0.970 0.750 0.824 Ca
0.141 0.250 0.562 Mg
0.359 0.750 0.062 Mg
0.641 0.250 0.938 Mg
0.859 0.750 0.438 Mg
0.231 0.750 0.375 Pd
0.269 0.250 0.875 Pd
0.731 0.750 0.125 Pd
0.769 0.250 0.625 Pd
```

calculated formation energy: -0.681 eV/atom
final energy: -16.484 eV/atom